## LiHfSbTe2 (PBE)

Data for a geometry-optimized LiHfSbTe2 structure.

a = 5.112 Å, b = 5.112 Å, c = 4.771 Å
α = 90.00°, β = 90.00°, γ = 90.00°
Space group P4/mmm (No. 123)
Symmetry-distinct sites (fractional):
1 Li 0.000 0.000 0.000 x1
2 Hf 0.500 0.500 0.500 x1
3 Sb 0.000 0.000 0.500 x1
4 Te 0.000 0.500 0.000 x2

Results
E_form (uncorrected)	357	meV per atom

---

## LiHfSb2Te (PBE)

Data for a geometry-optimized LiHfSb2Te structure.

a = 5.546 Å, b = 5.546 Å, c = 5.607 Å
α = 90.00°, β = 90.00°, γ = 90.00°
Space group P4/mmm (No. 123)
Symmetry-distinct sites (fractional):
1 Li 0.000 0.000 0.000 x1
2 Hf 0.500 0.500 0.500 x1
3 Sb 0.000 0.500 0.500 x2
4 Te 0.500 0.500 0.000 x1

Results
E_form (uncorrected)	-31	meV per atom

---

## LiHfTl2Sb (PBE)

Data for a geometry-optimized LiHfTl2Sb structure.

a = 4.776 Å, b = 4.776 Å, c = 5.345 Å
α = 90.00°, β = 90.00°, γ = 90.00°
Space group P4/mmm (No. 123)
Symmetry-distinct sites (fractional):
1 Li 0.000 0.000 0.000 x1
2 Hf 0.000 0.000 0.500 x1
3 Tl 0.000 0.500 0.000 x2
4 Sb 0.500 0.500 0.500 x1

Results
E_form (uncorrected)	414	meV per atom

---

## LiHf2Sc (PBE)

Data for a geometry-optimized LiHf2Sc structure.

a = 6.929 Å, b = 6.929 Å, c = 6.929 Å
α = 90.00°, β = 90.00°, γ = 90.00°
Space group Fm-3m (No. 225)
Symmetry-distinct sites (fractional):
1 Li 0.000 0.000 0.000 x4
2 Hf 0.250 0.250 0.250 x8
3 Sc 0.000 0.000 0.500 x4

Results
calculated formation energy	0.39	eV/atom

---

## Li3HfSc (PBE)

Data for a geometry-optimized Li3HfSc structure.

a = 4.644 Å, b = 4.644 Å, c = 4.644 Å
α = 90.00°, β = 90.00°, γ = 90.00°
Space group Pm-3m (No. 221)
Symmetry-distinct sites (fractional):
1 Li 0.000 0.000 0.500 x3
2 Hf 0.500 0.500 0.500 x1
3 Sc 0.000 0.000 0.000 x1

Results
calculated formation energy	1.12	eV/atom

---

## LiHfSc (PBE)

Data for a geometry-optimized LiHfSc structure.

a = 3.173 Å, b = 3.173 Å, c = 12.979 Å
α = 90.00°, β = 90.00°, γ = 90.00°
Space group I4mm (No. 107)
Symmetry-distinct sites (fractional):
1 Li 0.000 0.000 0.000 x2
2 Hf 0.000 0.000 0.333 x2
3 Sc 0.000 0.000 0.674 x2

Results
calculated formation energy	0.14	eV/atom

---

## LiHfSc (PBE)

Data for a geometry-optimized LiHfSc structure.

a = 5.1131 Å, b = 5.1131 Å, c = 5.7156 Å
α = 90.00°, β = 90.00°, γ = 120.00°
Space group P6_3/mmc (No. 194)
Symmetry-distinct sites (fractional):
1 Li 0.0000 0.0000 0.0000 x2
2 Hf 0.3333 0.6667 0.2500 x2
3 Sc 0.3333 0.6667 0.7500 x2

Results
calculated formation energy	0.55	eV/atom

---

## LiHfSc (PBE)

Data for a geometry-optimized LiHfSc structure.

a = 10.580 Å, b = 3.152 Å, c = 8.348 Å
α = 90.00°, β = 111.79°, γ = 90.00°
Space group Cm (No. 8)
Symmetry-distinct sites (fractional):
1 Li 0.000 0.000 0.000 x2
2 Li 0.125 0.500 0.842 x2
3 Hf 0.160 0.500 0.353 x2
4 Hf 0.294 0.000 0.680 x2
5 Sc 0.328 0.000 0.152 x2
6 Sc 0.471 0.500 0.498 x2

Results
calculated formation energy	0.15	eV/atom

---

## LiHfSc (PBE)

Data for a geometry-optimized LiHfSc structure.

a = 3.2116 Å, b = 3.2116 Å, c = 15.3009 Å
α = 90.00°, β = 90.00°, γ = 120.00°
Space group P3m1 (No. 156)
Symmetry-distinct sites (fractional):
1 Li 0.0000 0.0000 0.0000 x1
2 Li 0.3333 0.6667 0.1631 x1
3 Hf 0.3333 0.6667 0.4851 x1
4 Hf 0.6667 0.3333 0.3279 x1
5 Sc 0.3333 0.6667 0.8291 x1
6 Sc 0.6667 0.3333 0.6572 x1

Results
calculated formation energy	0.09	eV/atom

---

## LiHfSc (PBE)

Data for a geometry-optimized LiHfSc structure.

a = 3.253 Å, b = 4.173 Å, c = 9.830 Å
α = 90.00°, β = 90.00°, γ = 90.00°
Space group Pmm2 (No. 25)
Symmetry-distinct sites (fractional):
1 Li 0.000 0.000 0.000 x1
2 Li 0.500 0.500 0.151 x1
3 Hf 0.000 0.000 0.670 x1
4 Hf 0.500 0.500 0.826 x1
5 Sc 0.000 0.000 0.332 x1
6 Sc 0.500 0.500 0.511 x1

Results
calculated formation energy	0.16	eV/atom

---

## Li2HfSc (PBE)

Data for a geometry-optimized Li2HfSc structure.

a = 6.778 Å, b = 6.778 Å, c = 6.778 Å
α = 90.00°, β = 90.00°, γ = 90.00°
Space group Fm-3m (No. 225)
Symmetry-distinct sites (fractional):
1 Li 0.250 0.250 0.250 x8
2 Hf 0.000 0.000 0.000 x4
3 Sc 0.000 0.000 0.500 x4

Results
calculated formation energy	0.37	eV/atom

---

## LiHfSc (PBE)

Data for a geometry-optimized LiHfSc structure.

a = 3.1217 Å, b = 3.1217 Å, c = 8.0634 Å
α = 90.00°, β = 90.00°, γ = 120.00°
Space group P3m1 (No. 156)
Symmetry-distinct sites (fractional):
1 Li 0.0000 0.0000 0.0000 x1
2 Hf 0.6667 0.3333 0.3391 x1
3 Sc 0.3333 0.6667 0.6468 x1

Results
calculated formation energy	0.15	eV/atom

---

## LiHf2Sc (PBE)

Data for a geometry-optimized LiHf2Sc structure.

a = 3.0596 Å, b = 3.0596 Å, c = 33.6802 Å
α = 90.00°, β = 90.00°, γ = 120.00°
Space group R-3m (No. 166, hexagonal axes)
Symmetry-distinct sites (fractional):
1 Li 0.0000 0.0000 0.0000 x3
2 Hf 0.0000 0.0000 0.0881 x6
3 Sc 0.0000 0.0000 0.5000 x3

Results
calculated formation energy	0.26	eV/atom

---

## LiHfSc (PBE)

Data for a geometry-optimized LiHfSc structure.

a = 6.816 Å, b = 6.816 Å, c = 6.816 Å
α = 90.00°, β = 90.00°, γ = 90.00°
Space group F-43m (No. 216)
Symmetry-distinct sites (fractional):
1 Li 0.000 0.000 0.000 x4
2 Hf 0.250 0.250 0.750 x4
3 Sc 0.000 0.000 0.500 x4

Results
calculated formation energy	1.22	eV/atom

---

## LiHfSc (PBE)

Data for a geometry-optimized LiHfSc structure.

a = 3.145 Å, b = 3.145 Å, c = 13.682 Å
α = 90.00°, β = 90.04°, γ = 90.00°
Space group Pm (No. 6)
Symmetry-distinct sites (fractional):
1 Li 0.000 0.000 0.000 x1
2 Li 0.499 0.500 0.148 x1
3 Hf 0.000 0.000 0.675 x1
4 Hf 0.500 0.500 0.826 x1
5 Sc 0.499 0.500 0.496 x1
6 Sc 0.998 0.000 0.323 x1

Results
calculated formation energy	0.10	eV/atom

---

## LiHfSc (PBE)

Data for a geometry-optimized LiHfSc structure.

a = 5.501 Å, b = 3.135 Å, c = 8.107 Å
α = 90.00°, β = 102.98°, γ = 90.00°
Space group P2_1/m (No. 11)
Symmetry-distinct sites (fractional):
1 Li 0.240 0.250 0.498 x2
2 Hf 0.032 0.250 0.850 x2
3 Sc 0.466 0.250 0.159 x2

Results
calculated formation energy	0.15	eV/atom

---

## LiHfSc (PBE)

Data for a geometry-optimized LiHfSc structure.

a = 3.129 Å, b = 3.129 Å, c = 13.548 Å
α = 90.00°, β = 90.00°, γ = 90.00°
Space group P4/nmm (No. 129, origin choice 2)
Symmetry-distinct sites (fractional):
1 Li 0.250 0.250 0.074 x2
2 Hf 0.250 0.250 0.753 x2
3 Sc 0.250 0.250 0.403 x2

Results
calculated formation energy	0.13	eV/atom

---

## LiHfSc (PBE)

Data for a geometry-optimized LiHfSc structure.

a = 10.355 Å, b = 4.773 Å, c = 6.004 Å
α = 90.00°, β = 123.96°, γ = 90.00°
Space group Cm (No. 8)
Symmetry-distinct sites (fractional):
1 Li 0.000 0.000 0.000 x2
2 Li 0.216 0.500 0.832 x2
3 Hf 0.031 0.000 0.502 x2
4 Hf 0.320 0.000 0.136 x2
5 Sc 0.184 0.500 0.322 x2
6 Sc 0.400 0.000 0.695 x2

Results
calculated formation energy	0.21	eV/atom

---

## LiHfSc3 (PBE)

Data for a geometry-optimized LiHfSc3 structure.

a = 5.314 Å, b = 5.314 Å, c = 5.314 Å
α = 90.00°, β = 90.00°, γ = 90.00°
Space group Pm-3m (No. 221)
Symmetry-distinct sites (fractional):
1 Li 0.000 0.000 0.000 x1
2 Hf 0.500 0.500 0.500 x1
3 Sc 0.000 0.500 0.500 x3

Results
calculated formation energy	0.75	eV/atom

---

## LiHfSc (PBE)

Data for a geometry-optimized LiHfSc structure.

a = 5.1484 Å, b = 5.1484 Å, c = 2.8387 Å
α = 90.00°, β = 90.00°, γ = 120.00°
Space group P-6m2 (No. 187)
Symmetry-distinct sites (fractional):
1 Li 0.0000 0.0000 0.0000 x1
2 Hf 0.6667 0.3333 0.5000 x1
3 Sc 0.3333 0.6667 0.5000 x1

Results
calculated formation energy	0.49	eV/atom

---

## Li2HfSc (PBE)

Data for a geometry-optimized Li2HfSc structure.

a = 7.590 Å, b = 7.590 Å, c = 5.553 Å
α = 90.00°, β = 90.00°, γ = 90.00°
Space group I-42d (No. 122)
Symmetry-distinct sites (fractional):
1 Li 0.245 0.750 0.125 x8
2 Hf 0.000 0.000 0.500 x4
3 Sc 0.000 0.000 0.000 x4

Results
calculated formation energy	0.58	eV/atom

---

## LiHfSc3 (PBE)

Data for a geometry-optimized LiHfSc3 structure.

a = 4.882 Å, b = 4.882 Å, c = 4.882 Å
α = 90.00°, β = 90.00°, γ = 90.00°
Space group Pm-3m (No. 221)
Symmetry-distinct sites (fractional):
1 Li 0.000 0.000 0.000 x1
2 Hf 0.500 0.500 0.500 x1
3 Sc 0.000 0.000 0.500 x3

Results
calculated formation energy	0.63	eV/atom

---

## LiHfSc (PBE)

Data for a geometry-optimized LiHfSc structure.

a = 5.831 Å, b = 4.808 Å, c = 8.802 Å
α = 90.00°, β = 90.00°, γ = 90.00°
Space group Pnma (No. 62)
Symmetry-distinct sites (fractional):
1 Li 0.200 0.250 0.101 x4
2 Hf 0.022 0.250 0.792 x4
3 Sc 0.177 0.250 0.430 x4

Results
calculated formation energy	0.23	eV/atom

---

## LiHfSc (PBE)

Data for a geometry-optimized LiHfSc structure.

a = 4.7825 Å, b = 4.7825 Å, c = 6.2265 Å
α = 90.00°, β = 90.00°, γ = 120.00°
Space group P6_3/mmc (No. 194)
Symmetry-distinct sites (fractional):
1 Li 0.3333 0.6667 0.2500 x2
2 Hf 0.3333 0.6667 0.7500 x2
3 Sc 0.0000 0.0000 0.0000 x2

Results
calculated formation energy	0.38	eV/atom

---

## LiHfSc (PBE)

Data for a geometry-optimized LiHfSc structure.

a = 3.8321 Å, b = 3.8321 Å, c = 10.8926 Å
α = 90.00°, β = 90.00°, γ = 120.00°
Space group P6_3/mmc (No. 194)
Symmetry-distinct sites (fractional):
1 Li 0.3333 0.6667 0.2500 x2
2 Hf 0.0000 0.0000 0.0000 x2
3 Sc 0.0000 0.0000 0.2500 x2

Results
calculated formation energy	1.62	eV/atom

---

## LiHfSc (PBE)

Data for a geometry-optimized LiHfSc structure.

a = 4.289 Å, b = 4.289 Å, c = 6.680 Å
α = 90.00°, β = 90.00°, γ = 90.00°
Space group P4/nmm (No. 129, origin choice 2)
Symmetry-distinct sites (fractional):
1 Li 0.250 0.250 0.245 x2
2 Hf 0.250 0.250 0.871 x2
3 Sc 0.250 0.750 0.500 x2

Results
calculated formation energy	0.49	eV/atom

---

## LiHfSc (PBE)

Data for a geometry-optimized LiHfSc structure.

a = 5.529 Å, b = 3.192 Å, c = 15.575 Å
α = 90.00°, β = 96.74°, γ = 90.00°
Space group Cm (No. 8)
Symmetry-distinct sites (fractional):
1 Li 0.000 0.000 0.000 x2
2 Li 0.223 0.500 0.163 x2
3 Hf 0.112 0.500 0.835 x2
4 Hf 0.394 0.500 0.679 x2
5 Sc 0.003 0.500 0.506 x2
6 Sc 0.113 0.000 0.334 x2

Results
calculated formation energy	0.10	eV/atom

---

## LiHfSc (PBE)

Data for a geometry-optimized LiHfSc structure.

a = 3.2142 Å, b = 3.2142 Å, c = 45.9158 Å
α = 90.00°, β = 90.00°, γ = 120.00°
Space group R3m (No. 160, hexagonal axes)
Symmetry-distinct sites (fractional):
1 Li 0.0000 0.0000 0.0000 x3
2 Li 0.0000 0.0000 0.3877 x3
3 Hf 0.0000 0.0000 0.1093 x3
4 Hf 0.0000 0.0000 0.4949 x3
5 Sc 0.0000 0.0000 0.2189 x3
6 Sc 0.0000 0.0000 0.6096 x3

Results
calculated formation energy	0.09	eV/atom